[1]
Density functional theory data (PBE-GGA) for a relaxed structure of AcGa4Ru.

Cell: 4.231 7.352 7.849 Å, 90.00 90.00 90.00°
Fractional coordinates of all 12 atoms:
Ru 0.000 0.190 0.750
Ru 0.000 0.810 0.250
Ga 0.500 0.698 0.070
Ga 0.500 0.302 0.930
Ga 0.500 0.698 0.430
Ga 0.500 0.961 0.750
Ga 0.500 0.302 0.570
Ga 0.000 0.000 0.500
Ga 0.000 0.000 0.000
Ga 0.500 0.039 0.250
Ac 0.000 0.375 0.250
Ac 0.000 0.625 0.750

## Properties
The calculation puts the density of states at the Fermi level at 0.292 states/eV/atom. The electronic total energy is -4.74 eV/atom. The calculation puts the formation energy from the elements at -0.495 eV/atom. Its crystal system is orthorhombic. Its symmetry is Pmma, No. 51. The calculation puts the polymorph energy (0 for the lowest one) at 0 meV per atom.

=====

[2]
Density functional theory data (PBE-GGA) for a relaxed structure of Ba2AgRhI.

Cell: 5.967 5.967 5.186 Å, 90.00 90.00 90.00°
Fractional coordinates of all 5 atoms:
Ag 0.000 0.000 0.500
Rh 0.000 0.000 0.000
Ba 0.500 0.000 0.000
Ba 0.000 0.500 0.000
I 0.500 0.500 0.500

## Properties
The calculation puts the density of states at the Fermi level at 0.313 states/eV/atom. As for the raw formation energy: -2.62 eV per formula unit. The electronic total energy is -3.64 eV/atom. Its crystal system is tetragonal. Its symmetry is P4/mmm, No. 123.

=====

[3]
Density functional theory data (PBE-GGA) for a relaxed structure of HoHfOs2.

Cell: 4.686 4.686 4.686 Å, 60.00 60.00 60.00°
Fractional coordinates of all 4 atoms:
Ho 0.000 0.000 0.000
Hf 0.500 0.500 0.500
Os 0.750 0.750 0.750
Os 0.250 0.250 0.250

## Properties
The calculation puts the density of states at the Fermi level at 0.484 states/eV/atom. The electronic total energy is -9.62 eV/atom. The calculation puts the formation energy from the elements at -0.377 eV/atom. Its crystal system is cubic. Its symmetry is Fm-3m, No. 225. The calculation puts the polymorph energy (0 for the lowest one) at 33 meV per atom.

=====

[4]
Density functional theory data (PBE-GGA) for a relaxed structure of KCd3Sn3.

Cell: 4.488 11.605 11.602 Å, 120.01 90.00 90.00°
Fractional coordinates of all 14 atoms:
K 0.750 0.333 0.667
K 0.250 0.667 0.333
Sn 0.750 0.422 0.025
Sn 0.750 0.975 0.397
Sn 0.250 0.025 0.603
Sn 0.250 0.397 0.422
Sn 0.250 0.578 0.975
Sn 0.750 0.603 0.578
Cd 0.250 0.614 0.748
Cd 0.250 0.134 0.386
Cd 0.750 0.748 0.134
Cd 0.750 0.386 0.252
Cd 0.250 0.252 0.866
Cd 0.750 0.866 0.614

## Properties
The calculation puts the density of states at the Fermi level at 0.381 states/eV/atom. The electronic total energy is -2.23 eV/atom. The calculation puts the formation energy from the elements at 0.034 eV/atom. Its crystal system is hexagonal. Its symmetry is P6_3/m, No. 176. The calculation puts the polymorph energy (0 for the lowest one) at 58 meV per atom.

=====

[5]
Density functional theory data (PBE-GGA) for a relaxed structure of LaFeB6.

Cell: 3.899 3.900 5.709 Å, 73.25 106.74 90.00°
Fractional coordinates of all 8 atoms:
B 0.349 0.973 0.594
B 0.591 0.409 0.155
B 0.027 0.651 0.594
B 0.973 0.349 0.406
B 0.651 0.027 0.406
B 0.409 0.591 0.845
Fe 0.500 0.500 0.500
La 0.000 0.000 0.000

## Properties
The calculation puts the density of states at the Fermi level at 0.322 states/eV/atom. The electronic total energy is -7.00 eV/atom. The calculation puts the formation energy from the elements at -0.318 eV/atom. Its crystal system is monoclinic. Its symmetry is C2/m, No. 12.

=====

[6]
Density functional theory data (PBE-GGA) for a relaxed structure of PmAl2ZnPd4.

Cell: 4.293 4.293 9.086 Å, 76.33 76.33 60.00°
Fractional coordinates of all 8 atoms:
Pd 0.132 0.132 0.603
Pd 0.868 0.868 0.397
Pd 0.403 0.403 0.792
Pd 0.597 0.597 0.208
Pm 0.000 0.000 0.000
Zn 0.500 0.500 0.500
Al 0.237 0.237 0.288
Al 0.763 0.763 0.712

## Properties
The calculation puts the density of states at the Fermi level at 0.498 states/eV/atom. The electronic total energy is -5.06 eV/atom. The calculation puts the formation energy from the elements at -0.777 eV/atom. Its crystal system is trigonal. Its symmetry is R-3m, No. 166.

=====

Repeat the fifth record exactly.
Density functional theory data (PBE-GGA) for a relaxed structure of LaFeB6.

Cell: 3.899 3.900 5.709 Å, 73.25 106.74 90.00°
Fractional coordinates of all 8 atoms:
B 0.349 0.973 0.594
B 0.591 0.409 0.155
B 0.027 0.651 0.594
B 0.973 0.349 0.406
B 0.651 0.027 0.406
B 0.409 0.591 0.845
Fe 0.500 0.500 0.500
La 0.000 0.000 0.000

## Properties
The calculation puts the density of states at the Fermi level at 0.322 states/eV/atom. The electronic total energy is -7.00 eV/atom. The calculation puts the formation energy from the elements at -0.318 eV/atom. Its crystal system is monoclinic. Its symmetry is C2/m, No. 12.

=====

Q: Which value of electronic total energy does entry 5 give?
A: -7.00 eV/atom

=====

Q: The lowest electronic total energy belongs to which entry?
A: HoHfOs2

=====

Q: What is the formula in the sixth record?
A: PmAl2ZnPd4